## Na8B9C7 (PBE)

Data for a geometry-optimized Na8B9C7 structure.

Values from the calculation:
total moment: 0.00 μB per formula unit
formation energy: 0.030 eV per atom
E: -134.5 eV for the cell shown

Geometry as CIF:
```
data_Na8B9C7
_space_group_name_H-M_alt 'P m m 2'
_space_group_IT_number 25
_cell_length_a 2.815
_cell_length_b 8.472
_cell_length_c 9.937
_cell_angle_alpha 90.00
_cell_angle_beta 90.00
_cell_angle_gamma 90.00
loop_
_space_group_symop_operation_xyz
'x,y,z'
'-x,-y,z'
'-x,y,z'
'x,-y,z'
loop_
_atom_site_label
_atom_site_fract_x
_atom_site_fract_y
_atom_site_fract_z
_atom_site_occupancy
Na1 0.000 0.247 0.000 1
Na2 0.000 0.249 0.500 1
Na3 0.500 0.248 0.251 1
Na4 0.500 0.250 0.748 1
B1 0.000 0.000 0.334 1
B2 0.000 0.000 0.834 1
B3 0.000 0.500 0.173 1
B4 0.000 0.500 0.654 1
B5 0.000 0.500 0.826 1
B6 0.500 0.000 0.084 1
B7 0.500 0.000 0.584 1
B8 0.500 0.500 0.413 1
B9 0.500 0.500 0.936 1
C1 0.000 0.000 0.167 1
C2 0.000 0.000 0.667 1
C3 0.000 0.500 0.333 1
C4 0.500 0.000 0.417 1
C5 0.500 0.000 0.917 1
C6 0.500 0.500 0.092 1
C7 0.500 0.500 0.574 1
```

## Na2B3C (PBE)

Data for a geometry-optimized Na2B3C structure.

Values from the calculation:
total moment: 0.00 μB per formula unit
formation energy: 0.158 eV per atom
E: -309.5 eV for the cell shown

Geometry as CIF:
```
data_Na2B3C
_space_group_name_H-M_alt 'C 1 m 1'
_space_group_IT_number 8
_cell_length_a 17.919
_cell_length_b 2.845
_cell_length_c 13.495
_cell_angle_alpha 90.00
_cell_angle_beta 112.97
_cell_angle_gamma 90.00
loop_
_space_group_symop_operation_xyz
'x,y,z'
'x,-y,z'
'x+1/2,y+1/2,z'
'x+1/2,-y+1/2,z'
loop_
_atom_site_label
_atom_site_fract_x
_atom_site_fract_y
_atom_site_fract_z
_atom_site_occupancy
Na1 0.000 0.000 0.000 1
Na2 0.001 0.000 0.498 1
Na3 0.100 0.500 0.199 1
Na4 0.102 0.500 0.698 1
Na5 0.200 0.000 0.398 1
Na6 0.203 0.000 0.900 1
Na7 0.299 0.500 0.599 1
Na8 0.300 0.500 0.099 1
Na9 0.400 0.000 0.799 1
Na10 0.401 0.000 0.297 1
B1 0.034 0.000 0.815 1
B2 0.036 0.000 0.320 1
B3 0.076 0.500 0.899 1
B4 0.130 0.500 0.508 1
B5 0.166 0.000 0.079 1
B6 0.170 0.000 0.587 1
B7 0.232 0.000 0.212 1
B8 0.240 0.000 0.727 1
B9 0.271 0.500 0.290 1
B10 0.334 0.500 0.915 1
B11 0.362 0.000 0.472 1
B12 0.427 0.000 0.102 1
B13 0.428 0.000 0.605 1
B14 0.468 0.500 0.182 1
B15 0.470 0.500 0.687 1
C1 0.068 0.500 0.383 1
C2 0.135 0.500 0.017 1
C3 0.270 0.500 0.789 1
C4 0.332 0.500 0.412 1
C5 0.365 0.000 0.978 1
```

## Na5B8C2 (PBE)

Data for a geometry-optimized Na5B8C2 structure.

Values from the calculation:
total moment: 0.00 μB per formula unit
formation energy: 0.174 eV per atom
E: -303.4 eV for the cell shown

Geometry as CIF:
```
data_Na5B8C2
_space_group_name_H-M_alt 'C 1 2/m 1'
_space_group_IT_number 12
_cell_length_a 18.117
_cell_length_b 2.816
_cell_length_c 13.674
_cell_angle_alpha 90.00
_cell_angle_beta 112.41
_cell_angle_gamma 90.00
loop_
_space_group_symop_operation_xyz
'x,y,z'
'-x,-y,-z'
'-x,y,-z'
'x,-y,z'
'x+1/2,y+1/2,z'
'-x+1/2,-y+1/2,-z'
'-x+1/2,y+1/2,-z'
'x+1/2,-y+1/2,z'
loop_
_atom_site_label
_atom_site_fract_x
_atom_site_fract_y
_atom_site_fract_z
_atom_site_occupancy
Na1 0.000 0.000 0.000 1
Na2 0.000 0.000 0.500 1
Na3 0.101 0.500 0.195 1
Na4 0.101 0.500 0.703 1
Na5 0.200 0.000 0.397 1
Na6 0.200 0.000 0.902 1
B1 0.024 0.000 0.294 1
B2 0.065 0.500 0.378 1
B3 0.066 0.500 0.885 1
B4 0.127 0.500 0.503 1
B5 0.159 0.000 0.068 1
B6 0.169 0.000 0.590 1
B7 0.227 0.000 0.200 1
B8 0.233 0.000 0.719 1
C1 0.035 0.000 0.824 1
C2 0.128 0.500 0.007 1
```